Entry 1:
The following is a DFT calculation (PBE-GGA) of Th3InSb4 after structural relaxation.

The calculation puts the density of states at the Fermi level at 1.1827 states/eV/atom. The formation energy (no corrections) is -62 kJ per mole of atoms. The calculation puts the theoretical density at 8.28 g/cm3. The calculation puts the calculated volume at 32.53 Å³ per atom.

It has space group Pm-3m (No. 221), with a = 6.384 Å, b = 6.384 Å, c = 6.384 Å, α = 90.00°, β = 90.00° and γ = 90.00°. The inequivalent atoms are Th at (0.000, 0.000, 0.500), In at (0.500, 0.500, 0.500), Sb at (0.000, 0.000, 0.000) and Sb at (0.000, 0.500, 0.500).

***

Entry 2:
The following is a DFT calculation (PBE-GGA) of ThIn2Sb after structural relaxation.

The calculation puts the density of states at the Fermi level at 0.5841 states/eV/atom. The offset from the most stable computed form comes out at 0.000 eV/atom. The formation energy (no corrections) is -42 kJ per mole of atoms. The calculation puts the theoretical density at 9.02 g/cm3. The calculation puts the calculated volume at 26.87 Å³ per atom.

It has space group P4/mmm (No. 123), with a = 4.635 Å, b = 4.635 Å, c = 5.001 Å, α = 90.00°, β = 90.00° and γ = 90.00°. The inequivalent atoms are Th at (0.000, 0.000, 0.000), In at (0.000, 0.500, 0.500) and Sb at (0.500, 0.500, 0.000).